1.
VASP calculation (PBE-GGA) on a relaxed CeGe2Pt5 crystal.

extended XYZ file:
```
8
Lattice="3.7910 0.0000 1.2549 1.3002 5.8499 2.4257 -0.0368 0.0464 6.4647" Properties=species:S:1:pos:R:3 pbc="T T T"
Pt 0.6317 2.9482 4.4452
Pt 2.6178 0.9517 4.7989
Pt 2.4366 4.9446 5.3464
Pt 1.9016 2.6225 6.9625
Pt 3.1528 3.2738 3.1828
Ce 0.0000 0.0000 0.0000
Ge 1.2621 1.4777 2.5409
Ge 3.7924 4.4187 7.6043
```

- Spin magnetization: 0.7 μB per cell
- Space-group type: No. 71



2.
VASP calculation (PBE-GGA) on a relaxed Ce3Ge4Pt2 crystal.

extended XYZ file:
```
9
Lattice="-4.1700 0.6008 1.1449 2.6129 -4.1421 3.3659 2.0982 7.0754 3.9292" Properties=species:S:1:pos:R:3 pbc="T T T"
Pt 1.9560 2.0759 6.0349
Pt -1.4150 1.4582 2.4051
Ge -1.6840 -0.9927 2.7114
Ge 2.2251 4.5268 5.7286
Ge 0.9121 2.2918 2.1193
Ge -0.3710 1.2424 6.3207
Ce -0.5210 3.7403 4.4637
Ce 0.0000 0.0000 0.0000
Ce 1.0620 -0.2061 3.9763
```

- Spin magnetization: 1.6 μB per cell
- Space-group type: No. 12



Energy of formation from the pure elements values (in eV/atom) by entry order: -0.69, -0.93.